Compound: Te6PAu2
Source: Alexandria
Functional: GGA-PBE
Structure: optimized geometry

Lattice parameters (Å, degrees): 12.706 13.337 7.119 90.00 117.53 90.00
Space group C2/c (No. 15)
One atom of each set of equivalent atoms:
Te: 0.092 0.076 0.083 (multiplicity 8)
Te: 0.093 0.386 0.070 (multiplicity 8)
Te: 0.191 0.230 0.653 (multiplicity 8)
P: 0.000 0.186 0.750 (multiplicity 4)
Au: 0.160 0.431 0.757 (multiplicity 8)

Computed properties:
- DOS(E_F): 0.386 states/eV per atom
- Magnetic moment: 0.0 μB per cell
- Calculated total energy: -119.3 eV/cell
- Energy relative to the elements, uncorrected: 111 meV per atom

***

Compound: MnPb2Br
Source: Alexandria
Functional: GGA-PBE
Structure: optimized geometry

Lattice parameters (Å, degrees): 3.469 5.273 6.062 90.00 90.00 90.00
Space group Pmmm (No. 47)
One atom of each set of equivalent atoms:
Mn: 0.000 0.000 0.000 (multiplicity 1)
Pb: 0.000 0.500 0.500 (multiplicity 1)
Pb: 0.500 0.500 0.000 (multiplicity 1)
Br: 0.500 0.000 0.500 (multiplicity 1)

Computed properties:
- DOS(E_F): 0.624 states/eV per atom
- Magnetic moment: 4.6 μB per cell
- Calculated total energy: -17.4 eV/cell
- Energy relative to the elements, uncorrected: 205 meV per atom

***

Number 2 is which compound? MnPb2Br

***

Which value of DOS(E_F) does entry 2 give? 0.624 states/eV per atom